1.
Entry from Alexandria: an optimized crystal structure of RbSr2I (GGA-PBE).

Summary:
- Total DFT energy (no corrections): -23.225 eV for the cell shown
- Density: 2.92 g cm⁻³
- E above lowest polymorph: 0.0 meV/atom
- V: 55.11 A^3/atom
- Total moment: 0.00 μB/cell

a = 4.3280 Å, b = 4.3280 Å, c = 40.7647 Å
α = 90.00°, β = 90.00°, γ = 120.00°
With the nearest neighbours (Å) after each atom.
Space group R-3m (No. 166, hexagonal axes)
Asymmetric unit:
Rb 0.0000 0.0000 0.0000 [3 per cell]  2 Sr 4.23, 6 Rb 4.33
Sr 0.0000 0.0000 0.1038 [6 per cell]  3 I 3.58
I 0.0000 0.0000 0.5000 [3 per cell]  6 Sr 3.58

---

2.
Entry from Alexandria: an optimized crystal structure of Rb2Sr2I (GGA-PBE).

Summary:
- Total DFT energy (no corrections): -16.747 eV for the cell shown
- Density: 2.43 g cm⁻³
- V: 64.76 A^3/atom
- Total moment: 1.02 μB/cell

a = 9.0638 Å, b = 9.0638 Å, c = 7.8826 Å
α = 90.00°, β = 90.00°, γ = 90.00°
With the nearest neighbours (Å) after each atom.
Space group P4/mbm (No. 127)
Asymmetric unit:
Rb 0.1659 0.3341 0.0000 [4 per cell]  1 Rb 4.25, 2 Sr 4.53
Sr 0.1602 0.6602 0.5000 [4 per cell]  2 I 3.40
I 0.0000 0.0000 0.5000 [2 per cell]  4 Sr 3.40

---

3.
Entry from Alexandria: an optimized crystal structure of Rb2SrI3 (GGA-PBE).

Summary:
- Total DFT energy (no corrections): -64.156 eV for the cell shown
- Density: 3.59 g cm⁻³
- V: 49.29 A^3/atom
- Total moment: 0.00 μB/cell

a = 16.0485 Å, b = 7.3025 Å, c = 10.7065 Å
α = 90.00°, β = 109.48°, γ = 90.00°
With the nearest neighbours (Å) after each atom.
Space group C2/c (No. 15)
Asymmetric unit:
Rb 0.1740 0.0015 0.0869 [8 per cell]  6 I 3.68-3.86
Sr 0.0000 0.4987 0.7500 [4 per cell]  6 I 3.43-3.67
I 0.0000 0.0046 0.2500 [4 per cell]  2 Sr 3.63-3.67, 4 Rb 3.75
I 0.1421 0.4985 0.5711 [8 per cell]  2 Sr 3.43, 2 Rb 3.68

---

4.
Entry from Alexandria: an optimized crystal structure of Rb4SrI6 (GGA-PBE).

Summary:
- Total DFT energy (no corrections): -191.657 eV for the cell shown
- Density: 3.61 g cm⁻³
- V: 49.84 A^3/atom
- Total moment: 0.00 μB/cell

a = 14.5558 Å, b = 14.5558 Å, c = 17.9282 Å
α = 90.00°, β = 90.00°, γ = 120.00°
With the nearest neighbours (Å) after each atom.
Space group R-3c (No. 167, hexagonal axes)
Asymmetric unit:
Rb 0.0000 0.0000 0.2500 [6 per cell]  6 I 3.71
Rb 0.0000 0.3801 0.2500 [18 per cell]  8 I 3.89-4.06
Sr 0.0000 0.0000 0.0000 [6 per cell]  6 I 3.28
I 0.0339 0.1978 0.3936 [36 per cell]  1 Sr 3.28

---

5.
Entry from Alexandria: an optimized crystal structure of Rb3Sr2I7 (GGA-PBE).

Summary:
- Total DFT energy (no corrections): -70.714 eV for the cell shown
- Density: 3.39 g cm⁻³
- V: 53.93 A^3/atom
- Total moment: 0.00 μB/cell

a = 6.4796 Å, b = 31.4670 Å, c = 6.3479 Å
α = 90.00°, β = 90.07°, γ = 90.00°
With the nearest neighbours (Å) after each atom.
Space group C2/m (No. 12)
Asymmetric unit:
Rb 0.0000 0.0000 0.0000 [2 per cell]  12 I 4.42-4.54
Rb 0.0000 0.1774 0.0000 [4 per cell]  4 I 4.05-4.08
Sr 0.0000 0.3954 0.5000 [4 per cell]  6 I 3.17-3.29
I 0.0000 0.0976 0.5000 [4 per cell]  2 Sr 3.25
I 0.0000 0.2947 0.5000 [4 per cell]  1 Sr 3.17
I 0.0000 0.4011 0.0000 [4 per cell]  2 Sr 3.18
I 0.0000 0.5000 0.5000 [2 per cell]  2 Sr 3.29

---

6.
Entry from Alexandria: an optimized crystal structure of RbSrI2 (GGA-PBE).

Summary:
- Total DFT energy (no corrections): -10.403 eV for the cell shown
- Density: 4.40 g cm⁻³
- E above lowest polymorph: 82.5 meV/atom
- V: 40.30 A^3/atom
- Total moment: 0.46 μB/cell

a = 4.2292 Å, b = 4.2292 Å, c = 9.0122 Å
α = 90.00°, β = 90.00°, γ = 90.00°
With the nearest neighbours (Å) after each atom.
Space group P4/mmm (No. 123)
Asymmetric unit:
Rb 0.0000 0.0000 0.0000 [1 per cell]  8 I 3.90, 4 Rb 4.23
Sr 0.0000 0.0000 0.5000 [1 per cell]  8 I 3.60
I 0.5000 0.5000 0.2781 [2 per cell]  4 Sr 3.60, 4 Rb 3.90, 1 I 4.00

---

7.
Entry from Alexandria: an optimized crystal structure of RbSr3I7 (GGA-PBE).

Summary:
- Total DFT energy (no corrections): -69.644 eV for the cell shown
- Density: 4.03 g cm⁻³
- V: 46.34 A^3/atom
- Total moment: 0.00 μB/cell

a = 10.7674 Å, b = 12.1458 Å, c = 8.2874 Å
α = 90.00°, β = 109.84°, γ = 90.00°
With the nearest neighbours (Å) after each atom.
Space group C2/m (No. 12)
Asymmetric unit:
Rb 0.0000 0.0000 0.0000 [2 per cell]  2 I 3.68
Sr 0.0000 0.2726 0.5000 [4 per cell]  7 I 3.31-3.59
Sr 0.0000 0.5000 0.0000 [2 per cell]  6 I 3.25-3.31
I 0.0000 0.0000 0.5000 [2 per cell]  2 Sr 3.31
I 0.1515 0.5000 0.7216 [4 per cell]  3 Sr 3.25-3.41
I 0.1698 0.2926 0.2314 [8 per cell]  3 Sr 3.31-3.59

---

8.
Entry from Alexandria: an optimized crystal structure of RbSr2I (GGA-PBE).

Summary:
- Total DFT energy (no corrections): -25.658 eV for the cell shown
- Density: 2.89 g cm⁻³
- E above lowest polymorph: 331.8 meV/atom
- V: 55.59 A^3/atom
- Total moment: 0.00 μB/cell

a = 9.6167 Å, b = 9.6167 Å, c = 9.6167 Å
α = 90.00°, β = 90.00°, γ = 90.00°
With the nearest neighbours (Å) after each atom.
Space group Fm-3m (No. 225)
Asymmetric unit:
Rb 0.0000 0.0000 0.0000 [4 per cell]  8 Sr 4.16
Sr 0.2500 0.2500 0.2500 [8 per cell]  4 Rb 4.16, 4 I 4.16
I 0.0000 0.0000 0.5000 [4 per cell]  8 Sr 4.16

---

9.
Entry from Alexandria: an optimized crystal structure of Rb2SrI4 (GGA-PBE).

Summary:
- Total DFT energy (no corrections): -41.165 eV for the cell shown
- Density: 3.29 g cm⁻³
- E above lowest polymorph: 38.6 meV/atom
- V: 55.19 A^3/atom
- Total moment: 0.00 μB/cell

a = 6.4151 Å, b = 6.4151 Å, c = 18.7735 Å
α = 90.00°, β = 90.00°, γ = 90.00°
With the nearest neighbours (Å) after each atom.
Space group I4/mmm (No. 139)
Asymmetric unit:
Rb 0.0000 0.0000 0.1377 [4 per cell]  1 I 3.57
Sr 0.0000 0.0000 0.5000 [2 per cell]  6 I 3.21-3.23
I 0.0000 0.0000 0.3278 [4 per cell]  1 Sr 3.23, 1 Rb 3.57
I 0.0000 0.5000 0.0000 [4 per cell]  2 Sr 3.21

---

10.
Entry from Alexandria: an optimized crystal structure of Rb5SrI6 (GGA-PBE).

Summary:
- Total DFT energy (no corrections): -65.377 eV for the cell shown
- Density: 3.34 g cm⁻³
- V: 52.84 A^3/atom
- Total moment: 0.00 μB/cell

a = 9.1747 Å, b = 15.8173 Å, c = 9.2458 Å
α = 90.00°, β = 109.05°, γ = 90.00°
With the nearest neighbours (Å) after each atom.
Space group C2/m (No. 12)
Asymmetric unit:
Rb 0.0000 0.0000 0.0000 [2 per cell]  6 I 3.77-4.11
Rb 0.0000 0.1660 0.5000 [4 per cell]  6 I 3.77-3.78
Rb 0.0000 0.3290 0.0000 [4 per cell]  6 I 3.77-4.07
Sr 0.0000 0.5000 0.5000 [2 per cell]  6 I 3.39
I 0.2231 0.5000 0.2710 [4 per cell]  1 Sr 3.39, 2 Rb 3.78
I 0.2260 0.3498 0.7265 [8 per cell]  1 Sr 3.39, 4 Rb 3.77-3.78

---

11.
Entry from Alexandria: an optimized crystal structure of Rb3SrI6 (GGA-PBE).

Summary:
- Total DFT energy (no corrections): -104.663 eV for the cell shown
- Density: 3.08 g cm⁻³
- E above lowest polymorph: 113.5 meV/atom
- V: 59.67 A^3/atom
- Total moment: 0.00 μB/cell

a = 13.3643 Å, b = 13.3643 Å, c = 13.3643 Å
α = 90.00°, β = 90.00°, γ = 90.00°
With the nearest neighbours (Å) after each atom.
Space group Fm-3m (No. 225)
Asymmetric unit:
Rb 0.0000 0.0000 0.0000 [4 per cell]  6 I 3.47
Rb 0.2500 0.2500 0.2500 [8 per cell]  12 I 4.73
Sr 0.0000 0.0000 0.5000 [4 per cell]  6 I 3.21
I 0.0000 0.0000 0.2595 [24 per cell]  1 Sr 3.21, 1 Rb 3.47

---

12.
Entry from Alexandria: an optimized crystal structure of Rb2SrI2 (GGA-PBE).

Summary:
- Total DFT energy (no corrections): -23.288 eV for the cell shown
- Density: 3.43 g cm⁻³
- V: 49.67 A^3/atom
- Total moment: 0.00 μB/cell

a = 9.9126 Å, b = 9.9126 Å, c = 5.0552 Å
α = 90.00°, β = 90.00°, γ = 90.00°
With the nearest neighbours (Å) after each atom.
Space group P4/mbm (No. 127)
Asymmetric unit:
Rb 0.1504 0.3496 0.0000 [4 per cell]  6 I 3.71-3.95
Sr 0.0000 0.0000 0.5000 [2 per cell]  4 I 3.75
I 0.1557 0.6557 0.5000 [4 per cell]  6 Rb 3.71-3.95, 2 Sr 3.75

---

13.
Entry from Alexandria: an optimized crystal structure of RbSrI2 (GGA-PBE).

Summary:
- Total DFT energy (no corrections): -32.198 eV for the cell shown
- Density: 3.20 g cm⁻³
- E above lowest polymorph: 0.0 meV/atom
- V: 55.36 A^3/atom
- Total moment: 0.00 μB/cell

a = 4.7883 Å, b = 4.7883 Å, c = 33.4554 Å
α = 90.00°, β = 90.00°, γ = 120.00°
With the nearest neighbours (Å) after each atom.
Space group R-3m (No. 166, hexagonal axes)
Asymmetric unit:
Rb 0.0000 0.0000 0.0000 [3 per cell]  6 I 4.63, 6 Rb 4.79
Sr 0.0000 0.0000 0.5000 [3 per cell]  6 I 3.33
I 0.0000 0.0000 0.2223 [6 per cell]  3 Sr 3.33

---

14.
Entry from Alexandria: an optimized crystal structure of RbSr3I (GGA-PBE).

Summary:
- Total DFT energy (no corrections): -8.346 eV for the cell shown
- Density: 2.58 g cm⁻³
- E above lowest polymorph: 0.0 meV/atom
- V: 61.28 A^3/atom
- Total moment: 0.00 μB/cell

a = 6.7418 Å, b = 6.7418 Å, c = 6.7418 Å
α = 90.00°, β = 90.00°, γ = 90.00°
With the nearest neighbours (Å) after each atom.
Space group Pm-3m (No. 221)
Asymmetric unit:
Rb 0.0000 0.0000 0.0000 [1 per cell]  12 Sr 4.77
Sr 0.0000 0.5000 0.5000 [3 per cell]  2 I 3.37
I 0.5000 0.5000 0.5000 [1 per cell]  6 Sr 3.37

---

15.
Entry from Alexandria: an optimized crystal structure of Rb2SrTaI6 (GGA-PBE).

Summary:
- Total DFT energy (no corrections): -137.397 eV for the cell shown
- Density: 4.41 g cm⁻³
- V: 45.23 A^3/atom
- Total moment: 12.00 μB/cell

a = 12.1854 Å, b = 12.1854 Å, c = 12.1854 Å
α = 90.00°, β = 90.00°, γ = 90.00°
With the nearest neighbours (Å) after each atom.
Space group Fm-3m (No. 225)
Asymmetric unit:
Rb 0.2500 0.2500 0.2500 [8 per cell]  12 I 4.31
Sr 0.0000 0.0000 0.0000 [4 per cell]  6 I 3.21
Ta 0.0000 0.0000 0.5000 [4 per cell]  6 I 2.88
I 0.0000 0.0000 0.2638 [24 per cell]  1 Ta 2.88, 1 Sr 3.21

---

16.
Entry from Alexandria: an optimized crystal structure of RbSrTbI6 (GGA-PBE).

Summary:
- Total DFT energy (no corrections): -60.775 eV for the cell shown
- Density: 3.85 g cm⁻³
- V: 52.39 A^3/atom
- Total moment: 0.00 μB/cell

a = 8.2726 Å, b = 8.2726 Å, c = 15.9104 Å
α = 90.00°, β = 90.00°, γ = 120.00°
With the nearest neighbours (Å) after each atom.
Space group P-31c (No. 163)
Asymmetric unit:
Rb 0.0000 0.0000 0.0000 [2 per cell]  6 I 3.76
Sr 0.3333 0.6667 0.2500 [2 per cell]  6 I 3.30
Tb 0.3333 0.6667 0.7500 [2 per cell]  6 I 3.06
I 0.0218 0.3806 0.6368 [12 per cell]  1 Tb 3.06, 1 Sr 3.30

---

17.
Entry from Alexandria: an optimized crystal structure of Rb2SrTeI6 (GGA-PBE).

Summary:
- Total DFT energy (no corrections): -51.998 eV for the cell shown
- Density: 3.42 g cm⁻³
- V: 55.65 A^3/atom
- Total moment: 0.00 μB/cell

a = 8.7401 Å, b = 8.7401 Å, c = 14.5713 Å
α = 90.00°, β = 90.00°, γ = 90.00°
With the nearest neighbours (Å) after each atom.
Space group I4/mmm (No. 139)
Asymmetric unit:
Rb 0.0000 0.5000 0.2500 [4 per cell]  12 I 4.39-4.78
Sr 0.0000 0.0000 0.0000 [2 per cell]  6 I 3.20-3.24
Te 0.0000 0.0000 0.5000 [2 per cell]  4 I 2.94
I 0.0000 0.0000 0.2195 [4 per cell]  1 Sr 3.20
I 0.2376 0.2376 0.5000 [8 per cell]  1 Te 2.94, 1 Sr 3.24

---

18.
Entry from Alexandria: an optimized crystal structure of RbSrTlI4 (GGA-PBE).

Summary:
- Total DFT energy (no corrections): -40.224 eV for the cell shown
- Density: 3.92 g cm⁻³
- V: 53.59 A^3/atom
- Total moment: 0.00 μB/cell

a = 6.4232 Å, b = 6.4232 Å, c = 18.1866 Å
α = 90.00°, β = 90.00°, γ = 90.00°
With the nearest neighbours (Å) after each atom.
Space group I4mm (No. 107)
Asymmetric unit:
Rb 0.0000 0.0000 0.0000 [2 per cell]  1 I 3.52
Sr 0.0000 0.0000 0.3683 [2 per cell]  6 I 3.17-3.31
Tl 0.0000 0.0000 0.7268 [2 per cell]  1 I 3.21
I 0.0000 0.0000 0.1938 [2 per cell]  1 Sr 3.17, 1 Rb 3.52
I 0.0000 0.0000 0.5501 [2 per cell]  1 Tl 3.21, 1 Sr 3.31
I 0.0000 0.5000 0.3727 [4 per cell]  2 Sr 3.21

---

19.
Entry from Alexandria: an optimized crystal structure of RbSrTmI6 (GGA-PBE).

Summary:
- Total DFT energy (no corrections): -60.207 eV for the cell shown
- Density: 3.93 g cm⁻³
- V: 51.76 A^3/atom
- Total moment: 0.00 μB/cell

a = 8.2301 Å, b = 8.2301 Å, c = 15.8836 Å
α = 90.00°, β = 90.00°, γ = 120.00°
With the nearest neighbours (Å) after each atom.
Space group P-31c (No. 163)
Asymmetric unit:
Rb 0.0000 0.0000 0.0000 [2 per cell]  6 I 3.75
Sr 0.3333 0.6667 0.2500 [2 per cell]  6 I 3.30
Tm 0.3333 0.6667 0.7500 [2 per cell]  6 I 3.02
I 0.0261 0.3821 0.6381 [12 per cell]  1 Tm 3.02, 1 Sr 3.30

---

20.
Entry from Alexandria: an optimized crystal structure of Rb2SrYI6 (GGA-PBE).

Summary:
- Total DFT energy (no corrections): -132.303 eV for the cell shown
- Density: 3.73 g cm⁻³
- V: 49.38 A^3/atom
- Total moment: 3.96 μB/cell

a = 12.5467 Å, b = 12.5467 Å, c = 12.5467 Å
α = 90.00°, β = 90.00°, γ = 90.00°
With the nearest neighbours (Å) after each atom.
Space group Fm-3m (No. 225)
Asymmetric unit:
Rb 0.2500 0.2500 0.2500 [8 per cell]  12 I 4.44
Sr 0.0000 0.0000 0.0000 [4 per cell]  6 I 3.22
Y 0.0000 0.0000 0.5000 [4 per cell]  6 I 3.05
I 0.0000 0.0000 0.2565 [24 per cell]  1 Y 3.05, 1 Sr 3.22

---

Going through the records in order, we get energy relative to the elements, uncorrected values of -0.465; -0.305; -1.295; -1.554; -1.520; -1.163; -1.633; -0.133; -1.538; -1.406; -1.228; -0.985; -1.246; -0.157; -0.958; -1.534; -0.994; -1.271; -1.520; -1.369 eV/atom.